# Hf2Al2Au | Alexandria via LeMat-Bulk | PBE | optimized geometry
data_Hf2Al2Au
_chemical_formula_sum 'Hf8 Al8 Au4'
_cell_length_a 10.201
_cell_length_b 4.221
_cell_length_c 9.772
_cell_angle_alpha 90.00
_cell_angle_beta 116.31
_cell_angle_gamma 90.00
_space_group_name_H-M_alt 'C 1 2/m 1'
_space_group_IT_number 12
_space_group_name_Hall '-C 2y'
loop_
_atom_site_label
_atom_site_type_symbol
_atom_site_fract_x
_atom_site_fract_y
_atom_site_fract_z
Hf1 Hf 0.006 0.000 0.184
Hf2 Hf 0.177 0.000 0.594
Al1 Al 0.036 0.500 0.388
Al2 Al 0.140 0.500 0.062
Au1 Au 0.217 0.500 0.837
# E above lowest polymorph   0.88 kcal/mol of atoms
# E_tot   -131.95 eV/cell
# ρ   10.70 g cm⁻³
# Formation enthalpy at 0 K   -0.46 eV/atom
# Size of the total moment   0.0 μB per cell